## RbTiAl (PBE)

Data for crystalline RbTiAl at its relaxed geometry.

abc: 3.549 4.204 13.285
angles: 81.12 88.10 90.00
Space group P-1 (No. 2)
Asymmetric unit:
Rb 0.209 0.338 0.328 [2 per cell]
Ti 0.240 0.961 0.080 [2 per cell]
Al 0.260 0.538 0.922 [2 per cell]

Computed properties:
Magnetic moment in μB/f.u.: 0.00
ΔH_f (0 K) in meV/atom: 112
ΔE to the lowest computed polymorph in kJ/mol of atoms: 0.0
Electronic total energy in eV for the cell shown: -24.54
D(E_F) in states/eV/cell: 4.02